16
Lattice="6.1470 0.0000 0.0000 0.0000 6.1470 0.0000 0.0000 0.0000 6.1470" Properties=species:S:1:pos:R:3 comment="BeRh2Pb GGA-PBEsol optimized geometry" e_tot_ev_per_atom=-6.12 m_tot_mub_per_atom=0.00 density_g_cm3=12.068 sg="Fm-3m, No. 225" e_form_ev_per_atom=-0.054 pbc="T T T"
Be 0.0000 0.0000 0.0000
Be 0.0000 3.0735 3.0735
Be 3.0735 0.0000 3.0735
Be 3.0735 3.0735 0.0000
Rh 1.5368 1.5368 1.5368
Rh 1.5368 1.5368 4.6103
Rh 1.5368 4.6103 1.5368
Rh 1.5368 4.6103 4.6103
Rh 4.6103 1.5368 1.5368
Rh 4.6103 1.5368 4.6103
Rh 4.6103 4.6103 1.5368
Rh 4.6103 4.6103 4.6103
Pb 0.0000 0.0000 3.0735
Pb 0.0000 3.0735 0.0000
Pb 3.0735 0.0000 0.0000
Pb 3.0735 3.0735 3.0735